MnTlF3 PBE with a Hubbard U relaxed; symmetry = P-1; total magnetic moment = 1.0000 μB/atom; volume = 17.90 Å³ per atom; energy = -5.40 eV per atom
1.0
-5.731 2.912 -6.186
-0.060 -5.977 0.287
-3.759 -1.469 1.341
Tl Mn F
2 2 6
Cartesian
-1.908 -4.761 -1.135 Tl
-2.217 -1.910 0.754 Tl
-4.586 -0.419 -4.115 Mn
-5.270 -3.339 -2.452 Mn
-3.610 -2.279 -3.383 F
-4.851 -2.631 -0.544 F
-8.765 -2.597 -4.682 F
-6.246 -1.479 -3.185 F
-4.412 -5.273 -1.995 F
-5.445 1.514 -4.572 F